{
  "formula": "Ta2TcSn",
  "functional": "GGA-PBE",
  "state": "optimized geometry",
  "final_energy_ev_per_atom": -8.868,
  "ef_mev_per_atom": 651,
  "spacegroup": "I-42d (122)",
  "lattice_angstrom": [[3.977, 0.000, 0.000], [0.000, 3.977, 0.000], [0.000, 0.000, 19.699]],
  "species": ["Ta", "Ta", "Ta", "Ta", "Ta", "Ta", "Ta", "Ta", "Tc", "Tc", "Tc", "Tc", "Sn", "Sn", "Sn", "Sn"],
  "frac_coords": [[0.247, 0.250, 0.125], [0.250, 0.747, 0.375], [0.250, 0.753, 0.875], [0.253, 0.250, 0.625], [0.747, 0.750, 0.625], [0.750, 0.247, 0.875], [0.750, 0.253, 0.375], [0.753, 0.750, 0.125], [0.000, 0.000, 0.500], [0.000, 0.500, 0.750], [0.500, 0.000, 0.250], [0.500, 0.500, 0.000], [0.000, 0.000, 0.000], [0.000, 0.500, 0.250], [0.500, 0.000, 0.750], [0.500, 0.500, 0.500]]
}